Material: In3AgW
Method: DFT, PBE
State: relaxed

Computed properties:
The calculation puts the energy relative to the lowest polymorph listed for this composition at 0 meV/atom. For the formation energy, the calculation gives 0.863 eV/atom. As for the final energy: -3.941 eV/atom.

Cell and atoms, written as POSCAR:
```
In3AgW
1.0
5.296 0.000 0.000
0.000 5.296 0.000
0.000 0.000 5.296
Ag W In
1 1 3
Cartesian
2.648 2.648 2.648
0.000 0.000 0.000
0.000 2.648 0.000
0.000 0.000 2.648
2.648 0.000 0.000
```


Material: Tb7SiCl12
Method: DFT, PBE
State: relaxed

Computed properties:
The uncorrected formation energy is -1.9204 eV per atom. As for the final energy: -4.920 eV/atom.

Cell and atoms, written as POSCAR:
```
Tb7SiCl12
1.0
0.561 2.005 -8.573
0.401 -8.783 0.729
-7.952 2.562 2.835
Tb Si Cl
7 1 12
Cartesian
-6.253 -1.671 -5.300
-0.017 -0.239 -2.655
-2.545 0.795 0.001
-3.495 -2.108 -2.505
-4.445 -5.012 -5.011
-6.973 -3.978 -2.354
-0.736 -2.546 0.290
0.000 0.000 0.000
-5.529 1.096 -5.490
-0.132 -0.391 -5.515
-2.742 0.478 -2.794
-3.519 -2.353 -5.203
-5.312 1.539 0.087
-6.082 -1.306 -2.507
-0.907 -2.911 -2.502
-1.678 -5.755 -5.096
-3.471 -1.863 0.193
-4.247 -4.695 -2.215
-6.857 -3.825 0.506
-1.460 -5.313 0.480
```


Material: Tb3DyHo4
Method: DFT, PBE
State: relaxed

Computed properties:
The calculation puts the energy relative to the lowest polymorph listed for this composition at 191 meV/atom. For the formation energy, the calculation gives 0.198 eV/atom. As for the final energy: -4.403 eV/atom.

Cell and atoms, written as POSCAR:
```
Tb3DyHo4
1.0
-3.770 -4.127 -0.387
1.120 -1.312 3.079
-6.797 9.405 6.484
Tb Ho Dy
3 4 1
Cartesian
0.560 -0.656 1.540
-6.761 1.694 7.227
-2.687 2.272 1.949
-3.124 -1.199 2.651
-6.324 5.165 6.525
-4.247 3.408 5.017
-5.201 0.557 4.158
-1.885 -2.064 -0.194
```


Material: Sc2GeMoH
Method: DFT, PBE
State: relaxed

Computed properties:
As for the final energy: -6.692 eV/atom.

Cell and atoms, written as POSCAR:
```
Sc2GeMoH
1.0
4.491 0.000 0.000
0.000 4.491 0.000
0.000 0.000 3.700
Sc H Mo Ge
2 1 1 1
Cartesian
0.000 2.245 0.000
2.245 0.000 0.000
0.000 0.000 0.000
0.000 0.000 1.850
2.245 2.245 1.850
```


Material: Ac2As3PRh4
Method: DFT, PBE
State: relaxed

Computed properties:
For the formation energy, the calculation gives -0.959 eV/atom. As for the final energy: -6.657 eV/atom.

Cell and atoms, written as POSCAR:
```
Ac2As3PRh4
1.0
4.395 0.000 0.000
0.000 4.395 0.000
0.000 0.000 9.993
Ac As P Rh
2 3 1 4
Cartesian
2.197 0.000 2.576
0.000 2.197 7.417
0.000 0.000 4.996
2.197 0.000 8.630
0.000 2.197 1.363
2.197 2.197 4.996
2.197 2.197 0.000
0.000 0.000 0.000
2.197 0.000 6.073
0.000 2.197 3.920
```


Material: PmSm4Er3Te8
Method: DFT, PBE
State: relaxed

Computed properties:
The uncorrected formation energy is -1.3184 eV per atom. As for the final energy: -5.221 eV/atom.

Cell and atoms, written as POSCAR:
```
PmSm4Er3Te8
1.0
-1.223 -0.079 -8.676
-8.449 -2.315 1.212
3.140 7.184 3.917
Pm Sm Er Te
1 4 3 8
Cartesian
-4.224 -1.158 0.606
-0.611 -0.039 -4.338
0.959 3.553 -2.380
0.000 0.000 0.000
1.570 3.592 1.958
-4.836 -1.197 -3.732
-3.266 2.395 -1.774
-2.654 2.435 2.564
-3.467 5.389 2.612
-5.009 1.861 0.689
-0.924 3.021 0.103
-4.068 5.351 -1.648
-2.464 -0.560 -1.900
-5.607 1.769 -3.651
-1.522 2.929 -4.237
-3.064 -0.599 -6.160
```


Material: BaLaFe
Method: DFT, PBE
State: relaxed

Computed properties:
The calculation puts the energy relative to the lowest polymorph listed for this composition at 60 meV/atom. For the formation energy, the calculation gives 0.450 eV/atom. As for the final energy: -4.655 eV/atom.

Cell and atoms, written as POSCAR:
```
BaLaFe
1.0
-0.295 -3.059 2.940
3.515 2.380 -0.246
-2.536 4.167 4.081
Ba Fe La
1 1 1
Cartesian
-0.141 0.231 0.226
1.186 2.307 2.520
-0.361 0.950 4.028
```


Material: UTe4Rh
Method: DFT, PBE
State: relaxed

Computed properties:
The calculation puts the energy relative to the lowest polymorph listed for this composition at 0 meV/atom. The uncorrected formation energy is -0.4682 eV per atom. As for the final energy: -5.669 eV/atom.

Cell and atoms, written as POSCAR:
```
UTe4Rh
1.0
4.088 0.000 0.000
0.000 6.333 -0.339
0.000 0.086 7.037
U Te Rh
1 4 1
Cartesian
0.000 0.000 0.000
0.000 2.383 5.255
2.044 1.204 1.816
2.044 5.215 4.882
0.000 4.036 1.443
2.044 3.166 -0.169
```


Material: Rb2Bi3Se6
Method: DFT, PBE
State: relaxed

Computed properties:
The uncorrected formation energy is -0.6192 eV per atom. As for the final energy: -3.754 eV/atom.

Cell and atoms, written as POSCAR:
```
Rb2Bi3Se6
1.0
6.982 0.000 2.082
3.491 6.313 1.041
-0.072 0.000 8.757
Rb Bi Se
2 3 6
Cartesian
3.455 4.210 5.419
6.946 2.103 6.461
0.000 0.000 0.000
3.491 2.122 1.041
6.982 4.191 2.082
5.063 4.209 8.532
5.066 0.000 8.530
1.572 2.104 7.491
1.844 0.000 2.309
5.339 2.104 3.348
8.830 4.209 4.389
```


Material: KSc2BiPb
Method: DFT, PBE
State: relaxed

Computed properties:
For the formation energy, the calculation gives 1.171 eV/atom. As for the final energy: -3.099 eV/atom.

Cell and atoms, written as POSCAR:
```
KSc2BiPb
1.0
5.252 0.000 0.000
0.000 5.753 0.000
0.000 0.000 5.252
Pb Sc K Bi
1 2 1 1
Cartesian
0.000 2.877 0.000
0.000 0.000 2.626
2.626 0.000 0.000
0.000 0.000 0.000
2.626 2.877 2.626
```


Material: TbPmMg
Method: DFT, PBE
State: relaxed

Computed properties:
The calculation puts the energy relative to the lowest polymorph listed for this composition at 85 meV/atom. For the formation energy, the calculation gives 0.035 eV/atom. As for the final energy: -3.623 eV/atom.

Cell and atoms, written as POSCAR:
```
TbPmMg
1.0
3.432 0.000 0.000
0.000 5.494 0.000
0.000 -2.747 4.758
Mg Tb Pm
1 1 1
Cartesian
2.251 2.747 1.586
1.332 0.000 3.172
3.281 0.000 0.000
```


Material: NaScTeSe
Method: DFT, PBE
State: relaxed

Computed properties:
The uncorrected formation energy is -1.3457 eV per atom. As for the final energy: -4.915 eV/atom.

Cell and atoms, written as POSCAR:
```
NaScTeSe
1.0
4.052 -0.001 0.000
-2.026 3.510 0.000
-2.026 -1.170 7.506
Na Sc Te Se
1 1 1 1
Cartesian
2.409 0.914 2.849
-1.643 0.912 6.385
-1.643 3.253 0.634
0.383 -0.258 4.915
```


Material: AgPd2Au
Method: DFT, PBE
State: relaxed

Computed properties:
The calculation puts the energy relative to the lowest polymorph listed for this composition at 27 meV/atom. For the formation energy, the calculation gives -0.033 eV/atom. As for the final energy: -4.162 eV/atom.

Cell and atoms, written as POSCAR:
```
AgPd2Au
1.0
-0.450 1.874 2.112
0.534 -0.743 2.708
8.846 3.492 0.722
Ag Pd Au
1 2 1
Cartesian
4.470 2.313 2.771
6.635 2.711 0.944
2.239 1.158 1.385
8.897 4.244 3.936
```


Material: NpVS3
Method: DFT, PBE
State: relaxed

Computed properties:
The calculation puts the energy relative to the lowest polymorph listed for this composition at 104 meV/atom. The uncorrected formation energy is -1.0349 eV per atom. As for the final energy: -7.923 eV/atom.

Cell and atoms, written as POSCAR:
```
NpVS3
1.0
3.592 -0.001 -0.001
0.001 7.469 -0.283
0.002 2.330 7.102
Np V S
2 2 6
Cartesian
1.307 6.901 5.136
3.102 1.672 2.200
1.306 5.928 1.437
1.306 3.239 5.046
3.103 4.755 5.509
3.103 9.089 4.655
3.102 4.966 0.176
1.305 0.515 0.520
3.102 6.591 2.917
1.306 3.650 2.702
```


Material: HoPuTlAg
Method: DFT, PBE
State: relaxed

Computed properties:
For the formation energy, the calculation gives -0.094 eV/atom. As for the final energy: -6.126 eV/atom.

Cell and atoms, written as POSCAR:
```
HoPuTlAg
1.0
5.292 0.000 0.000
2.646 4.583 0.000
2.646 1.528 4.321
Tl Ho Ag Pu
1 1 1 1
Cartesian
7.938 4.583 3.240
0.000 0.000 0.000
2.646 1.528 1.080
5.292 3.055 2.160
```


Material: Tb3Pm2PrEr6
Method: DFT, PBE
State: relaxed

Computed properties:
For the formation energy, the calculation gives 0.018 eV/atom. As for the final energy: -4.611 eV/atom.

Cell and atoms, written as POSCAR:
```
Tb3Pm2PrEr6
1.0
6.175 0.001 0.008
-3.085 5.349 0.008
-1.042 -1.804 11.550
Tb Pm Pr Er
3 2 1 6
Cartesian
-2.062 3.555 5.783
4.110 -0.010 5.783
1.024 1.773 5.783
0.002 3.566 0.008
3.088 1.784 0.008
0.000 0.000 0.000
3.078 1.763 8.641
2.058 3.563 2.933
-1.030 1.782 2.925
-0.011 3.547 8.641
-0.010 -0.018 8.634
2.059 -0.001 2.925
```


Material: Tb6Y3Ho2
Method: DFT, PBE
State: relaxed

Computed properties:
For the formation energy, the calculation gives 0.019 eV/atom. As for the final energy: -5.102 eV/atom.

Cell and atoms, written as POSCAR:
```
Tb6Y3Ho2
1.0
-1.095 -1.381 -3.091
-2.427 -2.603 -0.026
-24.451 20.387 -2.501
Tb Y Ho
6 3 2
Cartesian
-18.077 14.441 -2.101
-9.895 1.962 -3.518
-11.752 8.540 -1.703
-16.220 7.863 -3.915
-23.501 17.078 -3.407
-4.471 -0.675 -2.212
0.000 0.000 0.000
-5.421 2.634 -1.306
-22.552 13.769 -4.313
-17.150 11.153 -3.008
-10.822 5.250 -2.611
```


Material: BeCd2CN
Method: DFT, PBE
State: relaxed

Computed properties:
The uncorrected formation energy is 0.8804 eV per atom. As for the final energy: -3.741 eV/atom.

Cell and atoms, written as POSCAR:
```
BeCd2CN
1.0
-2.987 -1.113 -3.540
0.424 -2.974 0.577
-3.652 0.073 3.058
Be C N Cd
1 1 1 2
Cartesian
0.212 -1.487 0.289
-3.107 -2.007 0.048
0.000 0.000 0.000
-1.826 0.036 1.529
-1.493 -0.557 -1.770
```


Material: Nd3NbCl2O6
Method: DFT, PBE
State: relaxed

Computed properties:
The uncorrected formation energy is -2.6137 eV per atom. As for the final energy: -7.432 eV/atom.

Cell and atoms, written as POSCAR:
```
Nd3NbCl2O6
1.0
-0.370 -4.184 3.800
6.542 0.808 1.527
-4.783 2.728 4.059
Nd Nb Cl O
3 1 2 6
Cartesian
3.271 0.404 0.763
0.695 -0.324 4.693
-2.576 -0.728 3.929
-0.185 -2.092 1.900
2.584 1.144 3.318
-1.194 -1.793 6.067
1.092 -2.384 3.564
0.298 1.735 5.821
2.003 -0.283 6.562
-0.613 -0.366 2.823
-3.199 1.304 5.005
4.588 -1.953 4.380
```


Material: Tb5Pm3Dy4
Method: DFT, PBE
State: relaxed

Computed properties:
The calculation puts the energy relative to the lowest polymorph listed for this composition at 0 meV/atom. For the formation energy, the calculation gives 0.014 eV/atom. As for the final energy: -4.637 eV/atom.

Cell and atoms, written as POSCAR:
```
Tb5Pm3Dy4
1.0
6.903 -0.444 1.815
-5.188 7.560 -6.621
4.104 -3.980 11.557
Tb Pm Dy
5 3 4
Cartesian
2.260 1.578 5.827
5.503 -2.212 6.686
2.575 3.451 -1.947
3.244 -0.316 8.698
3.558 1.556 0.924
4.535 -0.320 3.808
2.052 -1.990 5.779
1.283 3.455 2.943
4.745 3.241 3.859
5.713 1.352 6.732
0.105 1.783 0.019
1.073 -0.106 2.893
```


Material: LaBSbPd6
Method: DFT, PBE
State: relaxed

Computed properties:
The uncorrected formation energy is -0.3671 eV per atom. As for the final energy: -5.576 eV/atom.

Cell and atoms, written as POSCAR:
```
LaBSbPd6
1.0
6.510 0.000 0.000
0.000 8.765 0.000
-3.255 -4.383 5.715
La B Sb Pd
2 2 2 12
Cartesian
3.255 2.191 3.434
0.000 2.191 2.282
3.255 4.383 0.000
3.255 0.000 0.000
1.628 -2.191 2.858
-1.628 -2.191 2.858
0.000 2.191 5.391
3.255 -2.191 5.100
4.795 -0.006 1.397
1.715 4.389 1.397
1.715 -0.006 1.397
4.795 4.389 1.397
3.255 2.191 0.324
0.000 6.574 0.615
-1.540 4.389 4.318
1.540 -0.006 4.318
1.540 4.389 4.318
-1.540 -0.006 4.318
```


Material: Rb2CaNbCl6
Method: DFT, PBE
State: relaxed

Computed properties:
The uncorrected formation energy is -1.7244 eV per atom. As for the final energy: -4.233 eV/atom.

Cell and atoms, written as POSCAR:
```
Rb2CaNbCl6
1.0
7.481 0.000 0.000
0.000 7.481 0.000
3.740 3.740 5.290
Nb Ca Rb Cl
1 1 2 6
Cartesian
0.000 0.000 0.000
3.740 3.740 0.000
7.481 3.740 2.645
3.740 7.481 2.645
3.740 3.740 2.707
7.481 7.481 2.582
1.826 1.826 0.000
5.655 5.655 0.000
5.655 1.826 0.000
1.826 5.655 0.000
```


Material: AlRh2Br
Method: DFT, PBE
State: relaxed

Computed properties:
The calculation puts the energy relative to the lowest polymorph listed for this composition at 141 meV/atom. The uncorrected formation energy is -0.1761 eV per atom. As for the final energy: -5.206 eV/atom.

Cell and atoms, written as POSCAR:
```
AlRh2Br
1.0
4.047 0.010 -0.886
2.940 2.781 -0.886
-0.813 -0.325 7.482
Rh Al Br
2 1 1
Cartesian
-0.108 -0.043 6.628
2.382 0.951 3.709
4.630 1.850 4.283
1.543 0.617 1.428
```


Material: AcBe3Au6
Method: DFT, PBE
State: relaxed

Computed properties:
For the formation energy, the calculation gives -0.283 eV/atom. As for the final energy: -3.778 eV/atom.

Cell and atoms, written as POSCAR:
```
AcBe3Au6
1.0
5.156 0.000 -2.763
-3.318 4.817 0.000
0.423 0.292 6.982
Ac Be Au
1 3 6
Cartesian
1.977 4.913 3.689
2.671 1.840 4.985
-0.129 3.463 5.952
1.085 0.748 2.025
0.425 2.085 3.928
-1.267 3.300 1.268
3.709 0.466 -0.353
-1.211 4.471 3.923
3.030 2.093 2.529
1.436 2.457 0.131
```